DFT (GGA-PBE) results for a relaxed Sr2LaMn crystal.

Its space group is I-42d (122). The value obtained for the excess energy over the best structure of this formula in the dataset is 324 meV/atom. The calculation puts the energy relative to the elements at 13.11 kcal/mol of atoms.

Geometry as POSCAR:
```
Sr2LaMn
1.0
-5.689 5.689 2.694
5.689 -5.689 2.694
5.689 5.689 -2.694
Sr La Mn
4 2 2
direct
0.375 0.240 0.365
0.760 0.125 0.135
0.875 0.010 0.635
0.990 0.625 0.865
0.250 0.750 0.500
0.500 0.500 0.000
0.000 0.000 0.000
0.750 0.250 0.500
```

DFT (GGA-PBE) results for a relaxed RbPa2SeO8 crystal.

Its space group is P2/m (10). The uncorrected formation energy comes out at -2.25 eV per atom.

Geometry as POSCAR:
```
RbPa2SeO8
1.0
5.299 0.000 0.000
0.000 7.107 0.000
-0.644 0.000 5.262
Rb Pa Se O
1 2 1 8
direct
0.000 0.000 0.000
0.500 0.255 0.500
0.500 0.745 0.500
0.000 0.500 0.000
0.191 0.317 0.190
0.191 0.683 0.190
0.331 0.500 0.668
0.344 0.000 0.655
0.656 0.000 0.345
0.669 0.500 0.332
0.809 0.317 0.810
0.809 0.683 0.810
```

DFT (GGA-PBE) results for a relaxed SnHg3Cl crystal.

Its space group is Pm-3m (221). The uncorrected formation energy comes out at -0.10 eV per atom. The value obtained for the excess energy over the best structure of this formula in the dataset is 0 meV/atom.

Geometry as POSCAR:
```
SnHg3Cl
1.0
5.595 0.000 0.000
0.000 5.595 0.000
0.000 0.000 5.595
Sn Hg Cl
1 3 1
direct
0.000 0.000 0.000
0.000 0.000 0.500
0.000 0.500 0.000
0.500 0.000 0.000
0.500 0.500 0.500
```

DFT (GGA-PBE) results for a relaxed Mn2CuAs crystal.

Its space group is Pm (6). The calculation puts the energy relative to the elements at 3.27 kcal/mol of atoms.

Geometry as POSCAR:
```
Mn2CuAs
1.0
2.845 0.000 0.000
0.000 4.232 0.000
-0.359 0.000 4.463
Mn Cu As
2 1 1
direct
0.000 0.000 0.000
0.108 0.500 0.643
0.542 0.000 0.501
0.568 0.500 0.140
```

DFT (GGA-PBE) results for a relaxed Zr2CuAu crystal.

Its space group is R3m (160). The calculation puts the energy relative to the elements at -1.57 kcal/mol of atoms.

Geometry as POSCAR:
```
Zr2CuAu
1.0
2.199 1.270 4.918
-2.199 1.270 4.918
0.000 -2.539 4.918
Zr Cu Au
2 1 1
direct
0.000 0.000 0.000
0.195 0.195 0.195
0.795 0.795 0.795
0.412 0.412 0.412
```

DFT (GGA-PBE) results for a relaxed LiBe2Rh crystal.

Its space group is Cmm2 (35). The calculation puts the energy relative to the elements at 2.14 kcal/mol of atoms.

Geometry as POSCAR:
```
LiBe2Rh
1.0
1.415 -2.131 0.000
1.415 2.131 0.000
0.000 0.000 7.818
Li Be Rh
1 2 1
direct
0.000 0.000 0.000
0.000 0.000 0.502
0.500 0.500 0.274
0.500 0.500 0.725
```

DFT (GGA-PBE) results for a relaxed KBaLa crystal.

Its space group is F-43m (216). The value obtained for the excess energy over the best structure of this formula in the dataset is 704 meV/atom. The calculation puts the energy relative to the elements at 19.53 kcal/mol of atoms.

Geometry as POSCAR:
```
KBaLa
1.0
0.000 4.493 4.493
4.493 0.000 4.493
4.493 4.493 0.000
K Ba La
1 1 1
direct
0.000 0.000 0.000
0.250 0.250 0.250
0.750 0.750 0.750
```

DFT (GGA-PBE) results for a relaxed Y3MgGe crystal.

Its space group is Pm-3m (221). The value obtained for the excess energy over the best structure of this formula in the dataset is 0 meV/atom. The calculation puts the energy relative to the elements at -3.12 kcal/mol of atoms.

Geometry as POSCAR:
```
Y3MgGe
1.0
5.485 0.000 0.000
0.000 5.485 0.000
0.000 0.000 5.485
Y Mg Ge
3 1 1
direct
0.000 0.000 0.500
0.000 0.500 0.000
0.500 0.000 0.000
0.500 0.500 0.500
0.000 0.000 0.000
```

Number 1: DFT total energy -3.797 eV/atom, Fermi-level density of states 6.50 states/eV per cell. Number 2: DFT total energy -7.511 eV/atom, Fermi-level density of states 2.79 states/eV per cell. Number 3: DFT total energy -1.452 eV/atom, Fermi-level density of states 1.08 states/eV per cell. Number 4: DFT total energy -6.630 eV/atom, Fermi-level density of states 3.64 states/eV per cell. Number 5: DFT total energy -6.185 eV/atom, Fermi-level density of states 1.78 states/eV per cell. Number 6: DFT total energy -4.087 eV/atom, Fermi-level density of states 2.60 states/eV per cell. Number 7: DFT total energy -1.802 eV/atom, Fermi-level density of states 7.95 states/eV per cell. Number 8: DFT total energy -5.256 eV/atom, Fermi-level density of states 5.88 states/eV per cell.